A plane-wave DFT calculation with PBE was carried out for a relaxed structure of KCaCo2.

## Properties
Offset from the most stable computed form: 136 meV/atom
Energy relative to the elements: 0.4605 eV/atom

a b c (Å): 3.3122 3.3122 9.1240
angles (deg): 90.00 90.00 90.00
Last column: nearest neighbours and their distance in Å.
Sites, in units of the cell vectors:
K (0.0000, 0.0000, 0.0000)  5 Co 3.15-3.53, 4 K 3.31
Ca (0.5000, 0.5000, 0.4205)  1 Co 2.64
Co (0.0000, 0.0000, 0.6542)  4 Co 2.40
Co (0.5000, 0.5000, 0.7101)  4 Co 2.40, 1 Ca 2.64